Entry 1:
First-principles (PBE) data for a relaxed LaTm3Pt crystal, as listed in Alexandria.

a = 5.4375 Å, b = 5.4375 Å, c = 5.4375 Å
α = 90.00°, β = 90.00°, γ = 90.00°
With the nearest neighbours (Å) after each atom.
Space group Pm-3m (No. 221)
Unique sites:
La 0.0000 0.0000 0.0000 x1  12 Tm 3.84
Tm 0.0000 0.5000 0.5000 x3  2 Pt 2.72
Pt 0.5000 0.5000 0.5000 x1  6 Tm 2.72

Output
The density of states at the Fermi level comes out at 1.40 states/eV per atom. For the formation energy, the calculation gives -0.441 eV per atom.


Entry 2:
First-principles (PBE) data for a relaxed Rb2CdI crystal, as listed in Alexandria.

a = 9.1758 Å, b = 9.1758 Å, c = 9.1758 Å
α = 90.00°, β = 90.00°, γ = 90.00°
With the nearest neighbours (Å) after each atom.
Space group Fm-3m (No. 225)
Unique sites:
Rb 0.2500 0.2500 0.2500 x8  4 Cd 3.97, 4 I 3.97
Cd 0.0000 0.0000 0.0000 x4  8 Rb 3.97
I 0.0000 0.0000 0.5000 x4  8 Rb 3.97

Output
The density of states at the Fermi level comes out at 0.86 states/eV per atom. Its raw formation energy is -0.56 eV per atom.


Entry 3:
First-principles (PBE) data for a relaxed ZrZnSi crystal, as listed in Alexandria.

a = 4.0131 Å, b = 4.0131 Å, c = 3.6245 Å
α = 90.00°, β = 90.00°, γ = 120.00°
With the nearest neighbours (Å) after each atom.
Space group P-6m2 (No. 187)
Unique sites:
Zr 0.0000 0.0000 0.0000 x1  6 Zn 2.94, 6 Si 2.94
Zn 0.3333 0.6667 0.5000 x1  3 Si 2.32
Si 0.6667 0.3333 0.5000 x1  3 Zn 2.32

Output
The density of states at the Fermi level comes out at 0.08 states/eV per atom. Its raw formation energy is -0.52 eV per atom.


Entry 4:
First-principles (PBE) data for a relaxed BaTlB2F8 crystal, as listed in Alexandria.

a = 5.2477 Å, b = 5.2477 Å, c = 27.3502 Å
α = 90.00°, β = 90.00°, γ = 120.00°
With the nearest neighbours (Å) after each atom.
Space group R-3m (No. 166, hexagonal axes)
Unique sites:
Ba 0.0000 0.0000 0.0000 x3  12 F 2.96
Tl 0.0000 0.0000 0.5000 x3  12 F 3.29-3.61
B 0.0000 0.0000 0.2635 x6  4 F 1.37-1.44
F 0.0000 0.0000 0.2133 x6  1 B 1.37
F 0.0407 0.5203 0.9500 x18  1 B 1.44

Output
The density of states at the Fermi level comes out at 0.27 states/eV per atom. Its raw formation energy is -2.78 eV per atom.


Entry 5:
First-principles (PBE) data for a relaxed Pr5DyTe8 crystal, as listed in Alexandria.

a = 9.5264 Å, b = 9.5264 Å, c = 9.6177 Å
α = 90.00°, β = 90.00°, γ = 90.00°
With the nearest neighbours (Å) after each atom.
Space group I-4 (No. 82)
Unique sites:
Pr 0.0000 0.0000 0.0000 x2  8 Te 3.22-3.42
Pr 0.1192 0.2505 0.6248 x8  8 Te 3.22-3.43
Dy 0.0000 0.5000 0.2500 x2  8 Te 3.14-3.39
Te 0.0729 0.1818 0.2980 x8  1 Dy 3.14, 5 Pr 3.22-3.43
Te 0.0761 0.3258 0.9523 x8  5 Pr 3.22-3.42, 1 Dy 3.39, 1 Te 3.60

Output
The density of states at the Fermi level comes out at 0.70 states/eV per atom. Its raw formation energy is -1.42 eV per atom.


Entry 6:
First-principles (PBE) data for a relaxed Cs2HgPdI6 crystal, as listed in Alexandria.

a = 8.6347 Å, b = 8.6347 Å, c = 11.8723 Å
α = 90.00°, β = 90.00°, γ = 90.00°
With the nearest neighbours (Å) after each atom.
Space group I4/mmm (No. 139)
Unique sites:
Cs 0.0000 0.5000 0.2500 x4  12 I 4.27-4.33
Hg 0.0000 0.0000 0.0000 x2  2 I 2.71
Pd 0.0000 0.0000 0.5000 x2  4 I 2.67
I 0.0000 0.0000 0.2283 x4  1 Hg 2.71
I 0.2189 0.2189 0.5000 x8  1 Pd 2.67

Output
The density of states at the Fermi level comes out at 0.00 states/eV per atom. Its raw formation energy is -0.78 eV per atom.


Entry 7:
First-principles (PBE) data for a relaxed AgHgClO crystal, as listed in Alexandria.

a = 7.0585 Å, b = 3.5369 Å, c = 7.1414 Å
α = 90.00°, β = 118.32°, γ = 90.00°
With the nearest neighbours (Å) after each atom.
Space group Cm (No. 8)
Unique sites:
Ag 0.0000 0.0000 0.0000 x2  2 O 2.54, 3 Cl 2.67-2.71
Hg 0.4422 0.0000 0.3848 x2  3 O 2.23-2.34
Cl 0.1999 0.0000 0.7565 x2  3 Ag 2.67-2.71, 2 Hg 2.98
O 0.1955 0.5000 0.2828 x2  3 Hg 2.23-2.34

Output
The density of states at the Fermi level comes out at 0.27 states/eV per atom. Its raw formation energy is -0.23 eV per atom.


Entry 8:
First-principles (PBE) data for a relaxed Ac3Zn2Si3 crystal, as listed in Alexandria.

a = 4.4323 Å, b = 11.9594 Å, c = 15.1823 Å
α = 90.00°, β = 90.00°, γ = 90.00°
With the nearest neighbours (Å) after each atom.
Space group Cmcm (No. 63)
Unique sites:
Ac 0.0000 0.0727 0.1072 x8  7 Si 3.25-3.57, 4 Zn 3.26-3.60
Ac 0.0000 0.3575 0.2500 x4  4 Si 3.12-3.29, 4 Zn 3.40
Zn 0.0000 0.2276 0.5942 x8  4 Si 2.57-2.75
Si 0.0000 0.3457 0.7500 x4  2 Zn 2.75
Si 0.0000 0.3604 0.0445 x8  3 Zn 2.57-2.64

Output
The density of states at the Fermi level comes out at 0.43 states/eV per atom. Its raw formation energy is -0.47 eV per atom.


Entry 9:
First-principles (PBE) data for a relaxed Na2Fe2I7 crystal, as listed in Alexandria.

a = 8.0825 Å, b = 13.2023 Å, c = 11.1060 Å
α = 90.00°, β = 103.61°, γ = 90.00°
With the nearest neighbours (Å) after each atom.
Space group C2/m (No. 12)
Unique sites:
Na 0.0000 0.1748 0.0000 x4  6 I 3.21-3.33
Fe 0.0765 0.0000 0.7420 x4  4 I 2.58-2.61
I 0.0000 0.0000 0.5000 x2  2 Fe 2.61
I 0.2030 0.0000 0.1835 x4  1 Fe 2.58
I 0.2465 0.1636 0.8123 x8  1 Fe 2.58

Output
The density of states at the Fermi level comes out at 0.63 states/eV per atom. Its raw formation energy is -0.51 eV per atom.


Entry 10:
First-principles (PBE) data for a relaxed NaPdI crystal, as listed in Alexandria.

a = 4.7918 Å, b = 5.2575 Å, c = 6.6791 Å
α = 89.67°, β = 89.64°, γ = 74.93°
With the nearest neighbours (Å) after each atom.
Space group P1 (No. 1)
Unique sites:
Na 0.0000 0.0000 0.0000 x1  2 Pd 2.91-2.95, 3 I 3.04-3.23
Na 0.4958 0.4968 0.5702 x1  2 Pd 2.91-2.95, 3 I 3.04-3.24
Pd 0.1153 0.4197 0.2511 x1  3 I 2.69-2.97, 2 Na 2.91-2.95
Pd 0.6139 0.9194 0.3184 x1  3 I 2.69-2.97, 2 Na 2.91-2.95
I 0.0400 0.0518 0.5184 x1  3 Pd 2.69-2.97
I 0.5438 0.5545 0.0506 x1  3 Pd 2.69-2.97

Output
The density of states at the Fermi level comes out at 0.00 states/eV per atom. Its raw formation energy is -0.44 eV per atom.


Entry 11:
First-principles (PBE) data for a relaxed BaLaAl2Zn crystal, as listed in Alexandria.

a = 5.7450 Å, b = 5.7450 Å, c = 5.6923 Å
α = 90.00°, β = 90.00°, γ = 90.00°
With the nearest neighbours (Å) after each atom.
Space group P4/mmm (No. 123)
Unique sites:
Ba 0.0000 0.0000 0.0000 x1  8 Al 4.04, 4 Zn 4.06
La 0.5000 0.5000 0.5000 x1  2 Zn 2.85, 4 Al 2.87
Al 0.0000 0.5000 0.5000 x2  2 La 2.87
Zn 0.5000 0.5000 0.0000 x1  2 La 2.85

Output
The density of states at the Fermi level comes out at 1.28 states/eV per atom. For the formation energy, the calculation gives 0.441 eV per atom.


Entry 12:
First-principles (PBE) data for a relaxed VCrOs2 crystal, as listed in Alexandria.

a = 5.4862 Å, b = 5.4862 Å, c = 10.5868 Å
α = 90.00°, β = 90.00°, γ = 90.00°
With the nearest neighbours (Å) after each atom.
Space group I-42d (No. 122)
Unique sites:
V 0.0000 0.0000 0.0000 x4  4 Os 2.39
Cr 0.0000 0.0000 0.5000 x4  4 Os 2.31
Os 0.2371 0.2500 0.6250 x8  2 Cr 2.31, 2 V 2.39

Output
The density of states at the Fermi level comes out at 1.33 states/eV per atom. For the formation energy, the calculation gives 1.402 eV per atom.


Entry 13:
First-principles (PBE) data for a relaxed DyAlZnPd2 crystal, as listed in Alexandria.

a = 5.2969 Å, b = 13.1962 Å, c = 5.4036 Å
α = 90.00°, β = 90.00°, γ = 90.00°
With the nearest neighbours (Å) after each atom.
Space group Cmme (No. 67)
Unique sites:
Dy 0.0000 0.2500 0.2262 x4  8 Pd 2.90-3.17
Al 0.2500 0.0000 0.5000 x4  4 Pd 2.57, 2 Al 2.65
Zn 0.0000 0.0000 0.0000 x4  2 Pd 2.51, 2 Zn 2.65
Pd 0.0000 0.1452 0.6988 x8  1 Zn 2.51, 2 Al 2.57, 1 Pd 2.76

Output
The density of states at the Fermi level comes out at 0.47 states/eV per atom. For the formation energy, the calculation gives -0.626 eV per atom.


Entry 14:
First-principles (PBE) data for a relaxed Mg3CdRh2 crystal, as listed in Alexandria.

a = 3.2255 Å, b = 3.2255 Å, c = 9.7689 Å
α = 90.00°, β = 90.00°, γ = 90.00°
With the nearest neighbours (Å) after each atom.
Space group P4/mmm (No. 123)
Unique sites:
Mg 0.0000 0.0000 0.0000 x1  8 Rh 2.75, 2 Mg 2.93
Mg 0.0000 0.0000 0.2996 x2  4 Rh 2.67, 1 Mg 2.93
Cd 0.5000 0.5000 0.5000 x1  8 Mg 3.01, 4 Cd 3.23, 2 Rh 3.35
Rh 0.5000 0.5000 0.1571 x2  8 Mg 2.67-2.75

Output
The density of states at the Fermi level comes out at 0.41 states/eV per atom. For the formation energy, the calculation gives -0.397 eV per atom.


Entry 15:
First-principles (PBE) data for a relaxed KOF3 crystal, as listed in Alexandria.

a = 9.6422 Å, b = 5.0952 Å, c = 6.9501 Å
α = 90.00°, β = 102.14°, γ = 90.00°
With the nearest neighbours (Å) after each atom.
Space group P2_1/c (No. 14)
Unique sites:
K 0.1810 0.0570 0.2914 x4  7 F 2.63-2.91
O 0.4759 0.6064 0.4919 x4  1 O 1.18
F 0.0090 0.6966 0.9959 x4  1 F 2.01
F 0.2857 0.5815 0.2773 x4  1 F 2.04, 1 O 2.11
F 0.3980 0.1650 0.6366 x4  1 O 2.02, 1 F 2.04

Output
Its raw formation energy is -1.11 eV per atom.


Entry 16:
First-principles (PBE) data for a relaxed LaDy5Th2 crystal, as listed in Alexandria.

a = 3.5529 Å, b = 11.2483 Å, c = 13.2657 Å
α = 90.00°, β = 90.00°, γ = 90.00°
With the nearest neighbours (Å) after each atom.
Space group Immm (No. 71)
Unique sites:
La 0.0000 0.0000 0.0000 x2  2 La 3.55, 4 Th 3.62, 8 Dy 3.97
Dy 0.0000 0.2261 0.3675 x8  3 Th 3.38-3.55, 7 Dy 3.52-3.63
Dy 0.0000 0.5000 0.0000 x2  2 Th 3.48, 10 Dy 3.55-3.57
Th 0.0000 0.5000 0.2627 x4  7 Dy 3.38-3.55, 2 Th 3.55, 2 La 3.62

Output
The density of states at the Fermi level comes out at 1.49 states/eV per atom. For the formation energy, the calculation gives 0.089 eV per atom.


Entry 17:
First-principles (PBE) data for a relaxed ZrBeOs2 crystal, as listed in Alexandria.

a = 3.1272 Å, b = 3.1272 Å, c = 6.0386 Å
α = 90.00°, β = 90.00°, γ = 90.00°
With the nearest neighbours (Å) after each atom.
Space group P4/mmm (No. 123)
Unique sites:
Zr 0.0000 0.0000 0.0000 x1  8 Os 2.81, 2 Be 3.02, 4 Zr 3.13
Be 0.0000 0.0000 0.5000 x1  8 Os 2.56
Os 0.5000 0.5000 0.2867 x2  4 Be 2.56, 1 Os 2.58, 4 Zr 2.81

Output
The density of states at the Fermi level comes out at 0.86 states/eV per atom. For the formation energy, the calculation gives -0.116 eV per atom.


Entry 18:
First-principles (PBE) data for a relaxed Nd3Ho2Er4 crystal, as listed in Alexandria.

a = 16.5925 Å, b = 11.6418 Å, c = 6.0374 Å
α = 90.00°, β = 97.64°, γ = 90.00°
With the nearest neighbours (Å) after each atom.
Space group C2/c (No. 15)
Unique sites:
Nd 0.0000 0.1065 0.2500 x4  6 Ho 3.39-3.70, 4 Er 3.50-3.58
Nd 0.1664 0.3938 0.0842 x8  8 Er 3.38-3.70, 2 Ho 3.50-3.57
Ho 0.1174 0.1323 0.8128 x8  4 Er 3.37-3.49, 5 Nd 3.39-3.70
Er 0.0498 0.3675 0.5206 x8  1 Ho 3.37, 5 Nd 3.38-3.70, 3 Er 3.41-3.49
Er 0.2169 0.1330 0.3531 x8  1 Er 3.36, 5 Nd 3.38-3.69, 3 Ho 3.41-3.49

Output
The density of states at the Fermi level comes out at 1.52 states/eV per atom. For the formation energy, the calculation gives 0.103 eV per atom.


Entry 19:
First-principles (PBE) data for a relaxed BaGa3Os crystal, as listed in Alexandria.

a = 5.9511 Å, b = 5.9511 Å, c = 15.3750 Å
α = 90.00°, β = 90.00°, γ = 90.00°
With the nearest neighbours (Å) after each atom.
Space group I-4m2 (No. 119)
Unique sites:
Ba 0.0000 0.0000 0.1411 x4  8 Ga 3.40-3.67, 2 Os 3.41
Ga 0.0000 0.2247 0.3633 x8  2 Os 2.39-2.49, 1 Ga 2.67
Ga 0.0000 0.5000 0.5242 x4  2 Ga 2.97, 2 Os 3.00
Os 0.0000 0.0000 0.5000 x2  4 Ga 2.49
Os 0.0000 0.5000 0.2500 x2  4 Ga 2.39

Output
The density of states at the Fermi level comes out at 0.73 states/eV per atom. For the formation energy, the calculation gives 0.042 eV per atom.


Entry 20:
First-principles (PBE) data for a relaxed TaAg2HgAu crystal, as listed in Alexandria.

a = 5.0685 Å, b = 5.0685 Å, c = 5.1212 Å
α = 90.00°, β = 90.00°, γ = 90.00°
With the nearest neighbours (Å) after each atom.
Space group P4/mmm (No. 123)
Unique sites:
Ta 0.0000 0.0000 0.0000 x1  4 Hg 3.58, 8 Ag 3.60
Ag 0.0000 0.5000 0.5000 x2  2 Au 2.53
Hg 0.5000 0.5000 0.0000 x1  2 Au 2.56
Au 0.5000 0.5000 0.5000 x1  4 Ag 2.53, 2 Hg 2.56

Output
The density of states at the Fermi level comes out at 1.05 states/eV per atom. For the formation energy, the calculation gives 1.378 eV per atom.


Entry 21:
First-principles (PBE) data for a relaxed AcLa4Pm6 crystal, as listed in Alexandria.

a = 6.9099 Å, b = 6.9099 Å, c = 17.3697 Å
α = 90.00°, β = 90.00°, γ = 90.00°
With the nearest neighbours (Å) after each atom.
Space group I-42m (No. 121)
Unique sites:
Ac 0.0000 0.0000 0.0000 x2  8 Pm 3.45-3.80, 4 La 3.65
La 0.1917 0.1917 0.8195 x8  5 Pm 3.47-3.84, 1 Ac 3.65, 1 La 3.75
Pm 0.0000 0.5000 0.0000 x4  4 Pm 3.29, 2 Ac 3.45
Pm 0.1744 0.1744 0.6198 x8  3 Pm 3.29-3.41, 3 La 3.47-3.62

Output
The density of states at the Fermi level comes out at 1.53 states/eV per atom. For the formation energy, the calculation gives 0.291 eV per atom.


Entry 22:
First-principles (PBE) data for a relaxed MgSb2Cl crystal, as listed in Alexandria.

a = 6.0265 Å, b = 6.0265 Å, c = 5.9090 Å
α = 90.00°, β = 90.00°, γ = 90.00°
With the nearest neighbours (Å) after each atom.
Space group I4/mmm (No. 139)
Unique sites:
Mg 0.0000 0.0000 0.0000 x2  2 Cl 2.95, 4 Sb 3.01
Sb 0.0000 0.5000 0.0000 x4  2 Sb 2.95, 2 Cl 3.01, 2 Mg 3.01
Cl 0.0000 0.0000 0.5000 x2  2 Mg 2.95, 4 Sb 3.01

Output
The density of states at the Fermi level comes out at 0.44 states/eV per atom. Its raw formation energy is -0.23 eV per atom.


Entry 23:
First-principles (PBE) data for a relaxed Ba3Ac3MgSe8 crystal, as listed in Alexandria.

a = 8.9443 Å, b = 8.9443 Å, c = 22.8690 Å
α = 90.00°, β = 90.00°, γ = 120.00°
With the nearest neighbours (Å) after each atom.
Space group R-3m (No. 166, hexagonal axes)
Unique sites:
Ba 0.0000 0.5000 0.0000 x9  6 Se 3.27-3.32
Ac 0.0000 0.5000 0.5000 x9  6 Se 3.13-3.15
Mg 0.0000 0.0000 0.5000 x3  6 Se 2.91
Se 0.0000 0.0000 0.2452 x6  3 Ac 3.15, 3 Ba 3.27
Se 0.0222 0.5111 0.2381 x18  1 Mg 2.91, 2 Ac 3.13

Output
The density of states at the Fermi level comes out at 0.28 states/eV per atom. Its raw formation energy is -1.85 eV per atom.